First-principles (PBEsol) data for a relaxed structure of KCaGe2H, as listed in Alexandria.

Structure (extended XYZ):
```
5
Lattice="4.552 0.000 0.000 0.000 4.552 0.000 0.000 0.000 4.711" Properties=species:S:1:pos:R:3 pbc="T T T"
K 0.000 0.000 0.000
Ca 2.276 2.276 0.000
Ge 0.000 2.276 2.356
Ge 2.276 0.000 2.356
H 2.276 2.276 2.356
```

Results
Crystal system   tetragonal
N(E_F)   1.4 states/eV per cell

***

First-principles (PBEsol) data for a relaxed structure of Y2ZrCr, as listed in Alexandria.

Structure (extended XYZ):
```
4
Lattice="4.600 0.000 0.000 0.000 4.600 0.000 0.000 0.000 4.474" Properties=species:S:1:pos:R:3 pbc="T T T"
Y 0.000 2.300 0.000
Y 2.300 0.000 0.000
Zr 0.000 0.000 2.237
Cr 2.300 2.300 2.237
```

Results
Crystal system   tetragonal
DFT formation energy   0.425 eV per atom
N(E_F)   5.1 states/eV per cell

***

First-principles (PBEsol) data for a relaxed structure of CoRuPt2, as listed in Alexandria.

Structure (extended XYZ):
```
4
Lattice="2.682 0.000 0.000 0.000 2.682 0.000 0.000 0.000 7.476" Properties=species:S:1:pos:R:3 pbc="T T T"
Co 0.000 0.000 0.000
Ru 0.000 0.000 3.738
Pt 1.341 1.341 1.805
Pt 1.341 1.341 5.671
```

Results
Distance to the lowest polymorph of the same formula   2 meV/atom
Crystal system   tetragonal
DFT formation energy   0.014 eV per atom
N(E_F)   5.1 states/eV per cell

***

First-principles (PBEsol) data for a relaxed structure of Cr2CoMo, as listed in Alexandria.

Structure (extended XYZ):
```
4
Lattice="4.291 -1.266 0.000 4.291 1.266 0.000 -0.749 0.000 4.416" Properties=species:S:1:pos:R:3 pbc="T T T"
Cr 1.827 0.000 1.008
Cr 6.006 0.000 3.408
Co 4.291 0.000 0.000
Mo -0.375 0.000 2.208
```

Results
Crystal system   monoclinic
DFT formation energy   0.212 eV per atom
N(E_F)   4.4 states/eV per cell

***

First-principles (PBEsol) data for a relaxed structure of BaAlTe2I, as listed in Alexandria.

Structure (extended XYZ):
```
5
Lattice="6.330 0.000 0.000 0.000 6.330 0.000 0.000 0.000 6.510" Properties=species:S:1:pos:R:3 pbc="T T T"
Ba 0.000 0.000 0.000
Al 3.165 3.165 3.255
Te 0.000 3.165 0.000
Te 3.165 0.000 0.000
I 0.000 0.000 3.255
```

Results
Crystal system   tetragonal
N(E_F)   8.6 states/eV per cell

***

First-principles (PBEsol) data for a relaxed structure of Ta4Mo3, as listed in Alexandria.

Structure (extended XYZ):
```
7
Lattice="5.949 3.435 0.942 -5.949 3.435 0.942 0.000 -6.869 0.942" Properties=species:S:1:pos:R:3 pbc="T T T"
Ta 0.000 0.000 0.000
Ta -0.813 -2.460 1.021
Ta -1.724 1.935 1.021
Ta 2.537 0.526 1.021
Mo -2.573 -0.476 1.943
Mo 1.699 -1.990 1.943
Mo 0.874 2.466 1.943
```

Results
Distance to the lowest polymorph of the same formula   47 meV/atom
Crystal system   trigonal
DFT formation energy   -0.088 eV per atom
N(E_F)   6.0 states/eV per cell

***

First-principles (PBEsol) data for a relaxed structure of LaH2Au, as listed in Alexandria.

Structure (extended XYZ):
```
8
Lattice="-2.271 2.271 5.564 2.271 -2.271 5.564 2.271 2.271 -5.564" Properties=species:S:1:pos:R:3 pbc="T T T"
La 0.000 0.000 0.000
La 0.000 2.271 2.782
H 1.136 -0.480 4.173
H 1.791 1.136 1.391
H 1.136 2.752 -1.391
H 0.480 1.136 6.955
Au 2.271 0.000 2.782
Au 0.000 0.000 5.564
```

Results
Crystal system   tetragonal
N(E_F)   2.9 states/eV per cell

***

First-principles (PBEsol) data for a relaxed structure of NbAuF3, as listed in Alexandria.

Structure (extended XYZ):
```
5
Lattice="4.376 0.000 0.000 0.000 4.376 0.000 0.000 0.000 4.376" Properties=species:S:1:pos:R:3 pbc="T T T"
Nb 0.000 0.000 0.000
Au 2.188 2.188 2.188
F 0.000 2.188 2.188
F 2.188 0.000 2.188
F 2.188 2.188 0.000
```

Results
Distance to the lowest polymorph of the same formula   1329 meV/atom
Crystal system   cubic
N(E_F)   8.8 states/eV per cell

***

First-principles (PBEsol) data for a relaxed structure of PSO2, as listed in Alexandria.

Structure (extended XYZ):
```
4
Lattice="1.419 0.819 8.956 -1.419 0.819 8.956 0.000 -1.639 8.956" Properties=species:S:1:pos:R:3 pbc="T T T"
P 0.000 0.000 0.000
S 0.000 0.000 13.435
O 0.000 0.000 1.474
O 0.000 0.000 25.395
```

Results
Distance to the lowest polymorph of the same formula   3 meV/atom
Crystal system   trigonal
N(E_F)   2.7 states/eV per cell

***

First-principles (PBEsol) data for a relaxed structure of Pt3Br, as listed in Alexandria.

Structure (extended XYZ):
```
4
Lattice="2.564 -3.811 0.000 2.564 3.811 0.000 0.000 0.000 3.717" Properties=species:S:1:pos:R:3 pbc="T T T"
Pt 0.000 0.000 0.000
Pt 2.564 2.068 1.858
Pt 2.564 -2.068 1.858
Br 2.564 0.000 0.000
```

Results
Crystal system   orthorhombic
N(E_F)   4.2 states/eV per cell

***

First-principles (PBEsol) data for a relaxed structure of BaTiAs2, as listed in Alexandria.

Structure (extended XYZ):
```
8
Lattice="-3.686 3.686 4.223 3.686 -3.686 4.223 3.686 3.686 -4.223" Properties=species:S:1:pos:R:3 pbc="T T T"
Ba 0.000 0.000 0.000
Ba 0.000 3.686 2.111
Ti 3.686 0.000 2.111
Ti 0.000 0.000 4.223
As 1.843 -1.212 3.167
As 2.474 1.843 1.056
As 1.843 4.898 -1.056
As 1.212 1.843 5.279
```

Results
Crystal system   tetragonal
DFT formation energy   -0.732 eV per atom

***

First-principles (PBEsol) data for a relaxed structure of La3HfAl, as listed in Alexandria.

Structure (extended XYZ):
```
5
Lattice="5.627 0.000 0.000 0.000 5.627 0.000 0.000 0.000 5.627" Properties=species:S:1:pos:R:3 pbc="T T T"
La 0.000 0.000 2.813
La 0.000 2.813 0.000
La 2.813 0.000 0.000
Hf 2.813 2.813 2.813
Al 0.000 0.000 0.000
```

Results
Crystal system   cubic
DFT formation energy   0.819 eV per atom
N(E_F)   10.8 states/eV per cell

***

First-principles (PBEsol) data for a relaxed structure of LiSiAg, as listed in Alexandria.

Structure (extended XYZ):
```
3
Lattice="4.352 0.000 0.000 -2.176 3.769 0.000 0.000 0.000 2.793" Properties=species:S:1:pos:R:3 pbc="T T T"
Li 0.000 0.000 0.000
Si 2.176 1.256 1.396
Ag 0.000 2.513 1.396
```

Results
Distance to the lowest polymorph of the same formula   0 meV/atom
Crystal system   hexagonal
N(E_F)   0.6 states/eV per cell

***

First-principles (PBEsol) data for a relaxed structure of Zr3Al4C6, as listed in Alexandria.

Structure (extended XYZ):
```
13
Lattice="1.663 0.960 16.311 -1.663 0.960 16.311 0.000 -1.921 16.311" Properties=species:S:1:pos:R:3 pbc="T T T"
Zr 0.000 0.000 0.000
Zr 0.000 0.000 18.994
Zr 0.000 0.000 29.939
Al 0.000 0.000 7.229
Al 0.000 0.000 11.348
Al 0.000 0.000 37.584
Al 0.000 0.000 41.703
C 0.000 0.000 4.074
C 0.000 0.000 9.403
C 0.000 0.000 14.958
C 0.000 0.000 33.975
C 0.000 0.000 39.529
C 0.000 0.000 44.859
```

Results
Crystal system   trigonal
DFT formation energy   -0.480 eV per atom
N(E_F)   2.4 states/eV per cell

***

First-principles (PBEsol) data for a relaxed structure of LiMgAg2, as listed in Alexandria.

Structure (extended XYZ):
```
4
Lattice="-2.013 2.013 4.078 2.013 -2.013 4.078 2.013 2.013 -4.078" Properties=species:S:1:pos:R:3 pbc="T T T"
Li 0.000 0.000 0.000
Mg 0.000 2.013 2.039
Ag 2.013 0.000 2.039
Ag 0.000 0.000 4.078
```

Results
Crystal system   tetragonal
DFT formation energy   -0.221 eV per atom
N(E_F)   1.3 states/eV per cell

***

First-principles (PBEsol) data for a relaxed structure of Rb2NaPrF6, as listed in Alexandria.

Structure (extended XYZ):
```
10
Lattice="0.000 4.521 4.521 4.521 0.000 4.521 4.521 4.521 0.000" Properties=species:S:1:pos:R:3 pbc="T T T"
Rb 2.261 2.261 2.261
Rb 6.782 6.782 6.782
Na 0.000 0.000 0.000
Pr 4.521 4.521 4.521
F 4.521 4.521 2.254
F 4.521 2.254 4.521
F 6.788 4.521 4.521
F 2.254 4.521 4.521
F 4.521 6.788 4.521
F 4.521 4.521 6.788
```

Results
Crystal system   cubic
N(E_F)   0.0 states/eV per cell

***

First-principles (PBEsol) data for a relaxed structure of Cs3PrCl6, as listed in Alexandria.

Structure (extended XYZ):
```
10
Lattice="0.000 5.927 5.927 5.927 0.000 5.927 5.927 5.927 0.000" Properties=species:S:1:pos:R:3 pbc="T T T"
Cs 0.000 0.000 0.000
Cs 2.963 2.963 2.963
Cs 8.890 8.890 8.890
Pr 5.927 5.927 5.927
Cl 5.927 5.927 3.207
Cl 5.927 3.207 5.927
Cl 8.647 5.927 5.927
Cl 3.207 5.927 5.927
Cl 5.927 8.647 5.927
Cl 5.927 5.927 8.647
```

Results
Crystal system   cubic
N(E_F)   0.0 states/eV per cell

***

First-principles (PBEsol) data for a relaxed structure of CaEu3, as listed in Alexandria.

Structure (extended XYZ):
```
4
Lattice="0.000 4.284 4.284 4.284 0.000 4.284 4.284 4.284 0.000" Properties=species:S:1:pos:R:3 pbc="T T T"
Ca 0.000 0.000 0.000
Eu 2.142 2.142 2.142
Eu 4.284 4.284 4.284
Eu 6.426 6.426 6.426
```

Results
Crystal system   cubic
DFT formation energy   0.027 eV per atom
N(E_F)   15.4 states/eV per cell

***

First-principles (PBEsol) data for a relaxed structure of La2BeBr, as listed in Alexandria.

Structure (extended XYZ):
```
4
Lattice="-1.819 2.460 5.644 1.819 -2.460 5.644 1.819 2.460 -5.644" Properties=species:S:1:pos:R:3 pbc="T T T"
La 0.000 0.000 0.000
La 0.000 2.460 2.676
Be 1.819 0.000 2.731
Br 0.000 0.000 5.703
```

Results
Distance to the lowest polymorph of the same formula   311 meV/atom
Crystal system   orthorhombic
N(E_F)   3.6 states/eV per cell

***

First-principles (PBEsol) data for a relaxed structure of BePIrO2, as listed in Alexandria.

Structure (extended XYZ):
```
5
Lattice="3.674 0.000 0.000 0.000 3.674 0.000 0.000 0.000 5.234" Properties=species:S:1:pos:R:3 pbc="T T T"
Be 0.000 0.000 0.000
P 1.837 1.837 0.000
Ir 1.837 1.837 2.617
O 0.000 1.837 2.617
O 1.837 0.000 2.617
```

Results
Crystal system   tetragonal
N(E_F)   2.2 states/eV per cell

***

First-principles (PBEsol) data for a relaxed structure of Ni2Pt, as listed in Alexandria.

Structure (extended XYZ):
```
3
Lattice="0.000 2.809 2.809 2.809 0.000 2.809 2.809 2.809 0.000" Properties=species:S:1:pos:R:3 pbc="T T T"
Ni 1.404 1.404 1.404
Ni 4.213 4.213 4.213
Pt 0.000 0.000 0.000
```

Results
Crystal system   cubic
DFT formation energy   0.515 eV per atom
N(E_F)   6.2 states/eV per cell

***

First-principles (PBEsol) data for a relaxed structure of Cu5Pt, as listed in Alexandria.

Structure (extended XYZ):
```
6
Lattice="4.181 0.000 0.000 0.000 1.337 6.465 0.000 -1.337 6.465" Properties=species:S:1:pos:R:3 pbc="T T T"
Cu 0.000 0.000 0.000
Cu 0.000 0.000 4.247
Cu 0.000 0.000 8.576
Cu 2.091 0.000 2.670
Cu 2.091 0.000 7.091
Pt 2.091 0.000 11.343
```

Results
Distance to the lowest polymorph of the same formula   35 meV/atom
Crystal system   orthorhombic
DFT formation energy   -0.049 eV per atom
N(E_F)   2.0 states/eV per cell

***

First-principles (PBEsol) data for a relaxed structure of LiFe2Si, as listed in Alexandria.

Structure (extended XYZ):
```
8
Lattice="-3.128 3.128 2.451 3.128 -3.128 2.451 3.128 3.128 -2.451" Properties=species:S:1:pos:R:3 pbc="T T T"
Li 0.000 0.000 0.000
Li 0.000 3.128 1.225
Fe 1.564 1.633 -0.613
Fe 4.624 1.564 0.613
Fe 1.564 1.496 1.838
Fe -1.496 1.564 3.064
Si 3.128 0.000 1.225
Si 0.000 0.000 2.451
```

Results
Crystal system   tetragonal
N(E_F)   4.8 states/eV per cell

***

First-principles (PBEsol) data for a relaxed structure of MnNb3Se6, as listed in Alexandria.

Structure (extended XYZ):
```
20
Lattice="5.999 0.000 0.000 -3.000 5.196 0.000 0.000 0.000 12.614" Properties=species:S:1:pos:R:3 pbc="T T T"
Mn 0.000 3.464 3.154
Mn 3.000 1.732 9.461
Nb 0.000 0.000 0.000
Nb 0.000 0.000 6.307
Nb 0.000 3.464 0.024
Nb 0.000 3.464 6.283
Nb 3.000 1.732 6.331
Nb 3.000 1.732 12.590
Se -0.947 1.738 10.950
Se -1.968 3.506 7.972
Se 0.947 1.738 7.972
Se -1.021 5.147 10.950
Se 1.979 0.049 1.665
Se 1.031 1.689 4.642
Se 1.968 3.506 10.950
Se 1.021 5.147 7.972
Se 4.021 0.049 4.642
Se 2.053 3.458 1.665
Se 4.968 1.689 1.665
Se 3.947 3.458 4.642
```

Results
Crystal system   hexagonal
N(E_F)   10.0 states/eV per cell

***

First-principles (PBEsol) data for a relaxed structure of Ca2Ta2VO8, as listed in Alexandria.

Structure (extended XYZ):
```
26
Lattice="9.204 -3.102 0.000 9.204 3.102 0.000 -0.105 0.000 5.440" Properties=species:S:1:pos:R:3 pbc="T T T"
Ca 3.769 1.165 1.327
Ca 3.716 -1.165 4.047
Ca 14.586 1.165 1.393
Ca 14.534 -1.165 4.114
Ta 7.178 0.934 1.270
Ta 11.177 0.934 1.450
Ta 7.126 -0.934 3.990
Ta 11.124 -0.934 4.170
V 9.125 2.324 4.080
V 9.177 -2.324 1.360
O 3.294 0.912 4.595
O 8.170 2.226 2.251
O 10.185 2.226 0.469
O 5.850 0.336 2.670
O 7.870 0.838 4.856
O 3.347 -0.912 1.875
O 5.798 -0.336 5.390
O 10.380 0.838 3.304
O 7.922 -0.838 2.136
O 12.505 0.336 0.050
O 14.955 0.912 3.565
O 10.433 -0.838 0.584
O 12.452 -0.336 2.770
O 8.118 -2.226 4.971
O 10.132 -2.226 3.189
O 15.008 -0.912 0.845
```

Results
Crystal system   monoclinic
N(E_F)   3.0 states/eV per cell

***

First-principles (PBEsol) data for a relaxed structure of ReC, as listed in Alexandria.

Structure (extended XYZ):
```
4
Lattice="1.728 0.998 4.466 -1.728 0.998 4.466 0.000 -1.995 4.466" Properties=species:S:1:pos:R:3 pbc="T T T"
Re 0.000 0.000 3.314
Re 0.000 0.000 10.084
C 0.000 0.000 1.194
C 0.000 0.000 12.204
```

Results
Distance to the lowest polymorph of the same formula   13 meV/atom
Crystal system   trigonal
DFT formation energy   0.682 eV per atom
N(E_F)   1.4 states/eV per cell

***

Total moment list, top to bottom, in μB per formula unit: 0.0, 2.8, 1.5, 0.0, 0.0, 0.0, 0.0, 3.6, 0.3, 0.0, 0.0, 2.6, 0.0, 0.0, 0.0, 0.1, 0.2, 22.5, 0.0, 0.0, 1.8, 0.0, 4.0, 4.1, 3.0, 0.0
Final energy list, top to bottom, in eV per atom: -3.250, -7.819, -7.946, -9.786, -2.841, -12.303, -4.252, -4.176, -5.241, -5.272, -5.903, -5.308, -3.822, -8.288, -2.798, -5.252, -4.068, -8.429, -4.379, -5.944, -5.911, -4.821, -6.143, -7.386, -8.986, -10.806